Entry 1:
This record from Alexandria via LeMat-Bulk describes a relaxed structure of BaCe2FeS5. The functional is PBE-GGA.

Values from the calculation:
Symmetry = I4/mcm (140)
Total energy = -115.94 eV/cell

a = 8.688 Å, b = 8.688 Å, c = 8.688 Å
α = 126.63°, β = 126.63°, γ = 78.86°
Atoms (fractional coordinates):
Ba  0.250  0.250  0.000
Ba  0.750  0.750  0.000
Ce  0.161  0.661  0.821
Ce  0.339  0.161  0.500
Ce  0.661  0.839  0.500
Ce  0.839  0.339  0.179
Fe  0.250  0.750  0.500
Fe  0.750  0.250  0.500
S  0.000  0.000  0.000
S  0.014  0.217  0.500
S  0.217  0.717  0.202
S  0.283  0.486  0.500
S  0.486  0.986  0.202
S  0.500  0.500  0.000
S  0.514  0.014  0.798
S  0.717  0.514  0.500
S  0.783  0.283  0.798
S  0.986  0.783  0.500

Entry 2:
This record from Alexandria via LeMat-Bulk describes a relaxed structure of BaCeGa2. The functional is PBE-GGA.

Values from the calculation:
Symmetry = R-3m (166)
E_form = -0.10 eV per atom
Total energy = -14.30 eV/cell

a = 9.873 Å, b = 9.873 Å, c = 9.873 Å
α = 22.53°, β = 22.53°, γ = 22.53°
Atoms (fractional coordinates):
Ba  0.000  0.000  0.000
Ce  0.500  0.500  0.500
Ga  0.243  0.243  0.243
Ga  0.757  0.757  0.757

Entry 3:
This record from Alexandria via LeMat-Bulk describes a relaxed structure of BaCeGa2. The functional is PBE-GGA.

Values from the calculation:
Symmetry = P4/mmm (123)
E_form = -0.36 eV per atom
Total energy = -15.34 eV/cell

a = 3.863 Å, b = 3.863 Å, c = 7.738 Å
α = 90.00°, β = 90.00°, γ = 90.00°
Atoms (fractional coordinates):
Ba  0.000  0.000  0.000
Ce  0.000  0.000  0.500
Ga  0.500  0.500  0.295
Ga  0.500  0.500  0.705

Entry 4:
This record from Alexandria via LeMat-Bulk describes a relaxed structure of BaCeGa4. The functional is PBE-GGA.

Values from the calculation:
Symmetry = F-43m (216)
E_form = -0.38 eV per atom
Total energy = -22.23 eV/cell

a = 5.779 Å, b = 5.779 Å, c = 5.779 Å
α = 60.00°, β = 60.00°, γ = 60.00°
Atoms (fractional coordinates):
Ba  0.000  0.000  0.000
Ce  0.250  0.250  0.250
Ga  0.128  0.624  0.624
Ga  0.624  0.128  0.624
Ga  0.624  0.624  0.128
Ga  0.624  0.624  0.624

Entry 5:
This record from Alexandria via LeMat-Bulk describes a relaxed structure of BaCeGa2I8. The functional is PBE-GGA.

Values from the calculation:
Symmetry = P-1 (2)
Total energy = -38.39 eV/cell

a = 7.405 Å, b = 7.844 Å, c = 9.781 Å
α = 90.00°, β = 89.95°, γ = 89.30°
Atoms (fractional coordinates):
Ba  0.000  0.000  0.000
Ce  0.000  0.000  0.500
Ga  0.499  0.500  0.242
Ga  0.501  0.500  0.758
I  0.236  0.684  0.500
I  0.243  0.155  0.278
I  0.243  0.156  0.722
I  0.274  0.645  0.000
I  0.726  0.355  0.000
I  0.757  0.844  0.278
I  0.757  0.845  0.722
I  0.764  0.316  0.500

Entry 6:
This record from Alexandria via LeMat-Bulk describes a relaxed structure of BaCeGaN3. The functional is PBE-GGA.

Values from the calculation:
Symmetry = P2_1/m (11)
Total energy = -81.43 eV/cell

a = 7.873 Å, b = 3.603 Å, c = 7.989 Å
α = 90.00°, β = 101.15°, γ = 90.00°
Atoms (fractional coordinates):
Ba  0.183  0.250  0.206
Ba  0.817  0.750  0.794
Ce  0.355  0.750  0.843
Ce  0.645  0.250  0.157
Ga  0.095  0.250  0.607
Ga  0.905  0.750  0.393
N  0.152  0.250  0.852
N  0.156  0.750  0.511
N  0.446  0.750  0.130
N  0.554  0.250  0.870
N  0.844  0.250  0.489
N  0.848  0.750  0.148

Entry 7:
This record from Alexandria via LeMat-Bulk describes a relaxed structure of BaCeGaO5. The functional is PBE-GGA.

Values from the calculation:
Symmetry = C2/c (15)
Total energy = -110.25 eV/cell

a = 6.252 Å, b = 6.252 Å, c = 8.067 Å
α = 102.70°, β = 102.70°, γ = 107.86°
Atoms (fractional coordinates):
Ba  0.166  0.834  0.750
Ba  0.834  0.166  0.250
Ce  0.500  0.500  0.000
Ce  0.500  0.500  0.500
Ga  0.188  0.812  0.250
Ga  0.812  0.188  0.750
O  0.116  0.251  0.903
O  0.195  0.610  0.389
O  0.251  0.116  0.403
O  0.390  0.805  0.111
O  0.428  0.572  0.750
O  0.572  0.428  0.250
O  0.610  0.195  0.889
O  0.749  0.884  0.597
O  0.805  0.390  0.611
O  0.884  0.749  0.097

Entry 8:
This record from Alexandria via LeMat-Bulk describes a relaxed structure of BaCe2GaP4. The functional is PBE-GGA.

Values from the calculation:
Symmetry = Cmcm (63)
E_form = -1.09 eV per atom
Total energy = -94.33 eV/cell

a = 7.400 Å, b = 7.400 Å, c = 13.937 Å
α = 90.00°, β = 90.00°, γ = 147.52°
Atoms (fractional coordinates):
Ba  0.110  0.890  0.750
Ba  0.890  0.110  0.250
Ce  0.369  0.631  0.554
Ce  0.369  0.631  0.946
Ce  0.631  0.369  0.054
Ce  0.631  0.369  0.446
Ga  0.160  0.840  0.250
Ga  0.840  0.160  0.750
P  0.000  0.000  0.000
P  0.000  0.000  0.500
P  0.261  0.739  0.115
P  0.261  0.739  0.385
P  0.433  0.567  0.750
P  0.567  0.433  0.250
P  0.739  0.261  0.615
P  0.739  0.261  0.885

Entry 9:
This record from Alexandria via LeMat-Bulk describes a relaxed structure of BaCeGa2Pt2. The functional is PBE-GGA.

Values from the calculation:
Symmetry = P-3m1 (164)
E_form = -0.89 eV per atom
Total energy = -31.32 eV/cell

a = 4.538 Å, b = 4.538 Å, c = 8.116 Å
α = 90.00°, β = 90.00°, γ = 120.00°
Atoms (fractional coordinates):
Ba  0.000  0.000  0.000
Ce  0.000  0.000  0.500
Ga  0.333  0.667  0.292
Ga  0.667  0.333  0.708
Pt  0.333  0.667  0.694
Pt  0.667  0.333  0.306

Entry 10:
This record from Alexandria via LeMat-Bulk describes a relaxed structure of Ba2CeGa2S6. The functional is PBE-GGA.

Values from the calculation:
Symmetry = C2/m (12)
Total energy = -56.26 eV/cell

a = 6.709 Å, b = 6.709 Å, c = 8.174 Å
α = 109.82°, β = 109.82°, γ = 63.87°
Atoms (fractional coordinates):
Ba  0.197  0.197  0.167
Ba  0.803  0.803  0.833
Ce  0.000  0.000  0.500
Ga  0.464  0.464  0.631
Ga  0.536  0.536  0.369
S  0.182  0.712  0.200
S  0.249  0.249  0.576
S  0.288  0.818  0.800
S  0.712  0.182  0.200
S  0.751  0.751  0.424
S  0.818  0.288  0.800

Entry 11:
This record from Alexandria via LeMat-Bulk describes a relaxed structure of Ba2CeGaS5. The functional is PBE-GGA.

Values from the calculation:
Symmetry = Cmc2_1 (36)
Total energy = -97.64 eV/cell

a = 9.348 Å, b = 9.348 Å, c = 13.059 Å
α = 90.00°, β = 90.00°, γ = 154.06°
Atoms (fractional coordinates):
Ba  0.117  0.883  0.500
Ba  0.126  0.874  0.147
Ba  0.874  0.126  0.647
Ba  0.883  0.117  0.000
Ce  0.199  0.801  0.843
Ce  0.801  0.199  0.343
Ga  0.446  0.554  0.242
Ga  0.554  0.446  0.742
S  0.038  0.962  0.831
S  0.298  0.702  0.484
S  0.319  0.681  0.191
S  0.347  0.653  0.825
S  0.498  0.502  0.588
S  0.502  0.498  0.088
S  0.653  0.347  0.325
S  0.681  0.319  0.691
S  0.702  0.298  0.984
S  0.962  0.038  0.331

Entry 12:
This record from Alexandria via LeMat-Bulk describes a relaxed structure of BaCeGaS4. The functional is PBE-GGA.

Values from the calculation:
Symmetry = P2_1/m (11)
Total energy = -76.92 eV/cell

a = 6.674 Å, b = 6.716 Å, c = 8.567 Å
α = 90.00°, β = 107.68°, γ = 90.00°
Atoms (fractional coordinates):
Ba  0.240  0.250  0.435
Ba  0.760  0.750  0.565
Ce  0.273  0.250  0.946
Ce  0.727  0.750  0.054
Ga  0.271  0.750  0.181
Ga  0.729  0.250  0.819
S  0.066  0.750  0.917
S  0.075  0.750  0.357
S  0.495  0.508  0.772
S  0.495  0.992  0.772
S  0.505  0.008  0.228
S  0.505  0.492  0.228
S  0.925  0.250  0.643
S  0.934  0.250  0.083

> total energy of number 12 (BaCeGaS4)?

-76.92 eV/cell